1.
Density functional theory data (PBE-GGA) for a geometry-optimized Er2Ga4Cu3Ir structure.

Cell lengths 4.017, 4.017, 10.605 Å; angles 90.00, 90.00, 90.00 degrees
Element x y z (fractional)
Er  0.500  0.000  0.249
Er  0.000  0.500  0.751
Ga  0.500  0.500  0.000
Ga  0.000  0.000  0.000
Ga  0.500  0.000  0.639
Ga  0.000  0.500  0.361
Cu  0.000  0.000  0.500
Cu  0.500  0.000  0.863
Cu  0.000  0.500  0.137
Ir  0.500  0.500  0.500

**ΔH_f (0 K)**: -0.49 eV/atom
**Final energy**: -4.724 eV/atom
**Fermi-level density of states**: 0.4225 states/eV per atom
**Magnetic moment**: 0.00 μB/f.u.

2.
Density functional theory data (PBE-GGA) for a geometry-optimized SrIr2Rh structure.

Cell lengths 2.852, 4.964, 5.896 Å; angles 55.45, 90.00, 90.00 degrees
Element x y z (fractional)
Ir  0.000  0.000  0.000
Ir  0.500  0.500  0.000
Rh  0.500  0.500  0.500
Sr  0.000  0.000  0.500

**ΔH_f (0 K)**: 0.28 eV/atom
**Final energy**: -6.409 eV/atom
**Fermi-level density of states**: 0.8874 states/eV per atom
**Excess energy over the best structure of this formula in the dataset**: 89 meV per atom
**Magnetic moment**: 0.00 μB/f.u.

3.
Density functional theory data (PBE-GGA) for a geometry-optimized HoErPb structure.

Cell lengths 3.683, 5.285, 5.285 Å; angles 120.00, 90.00, 90.00 degrees
Element x y z (fractional)
Pb  0.658  0.667  0.333
Ho  0.938  0.000  0.000
Er  0.403  0.333  0.667

**ΔH_f (0 K)**: -0.19 eV/atom
**Final energy**: -4.468 eV/atom
**Fermi-level density of states**: 1.3848 states/eV per atom
**Excess energy over the best structure of this formula in the dataset**: 72 meV per atom
**Magnetic moment**: 0.00 μB/f.u.

Number 3 is which compound?
HoErPb

Number 3 is which compound?
HoErPb

Which value of ΔH_f (0 K) does entry 3 give?
-0.19 eV/atom